Version a
Computed, not measured: a geometry-optimized Os5Pt structure at the GGA-PBE level of DFT.

Cell and atoms, written as extended XYZ:
```
6
Lattice="-0.550 -4.235 -2.942 0.337 -5.152 -0.490 -5.777 7.354 4.840" Properties=species:S:1:pos:R:3 pbc="T T T"
Os -2.381 -1.306 0.374
Os -5.970 -1.993 1.417
Os -3.912 1.774 2.079
Os -4.164 4.252 3.097
Os -2.086 -3.846 -0.683
Pt -0.492 -6.886 -2.396
```

Results
Calculated volume ... 87 Å³/cell
Space-group type ... Cm, No. 8
Calculated density ... 21.89 g/cm³

Version b
Computed, not measured: a geometry-optimized Os5Pt structure at the GGA-PBE level of DFT.

Cell and atoms, written as extended XYZ:
```
6
Lattice="3.882 0.000 0.000 0.000 3.872 0.000 0.000 -1.936 5.790" Properties=species:S:1:pos:R:3 pbc="T T T"
Os 1.941 1.936 0.000
Os 1.941 1.936 3.835
Os 0.000 0.000 3.807
Os 1.941 0.000 1.955
Pt 0.000 0.000 0.000
Os 0.000 1.936 1.983
```

Results
Calculated volume ... 87 Å³/cell
Space-group type ... Cmmm, No. 65
Calculated density ... 21.87 g/cm³

The relative energies come out as version a 0.0; version b 5.6, with values in kJ/mol of atoms.

Version a
Computed, not measured: a geometry-optimized Os4Pt structure at the GGA-PBE level of DFT.

Cell and atoms, written as extended XYZ:
```
5
Lattice="-1.875 1.875 5.870 1.875 -1.875 5.870 1.875 1.875 -5.870" Properties=species:S:1:pos:R:3 pbc="T T T"
Os 0.000 1.875 2.935
Os 0.000 0.000 4.665
Pt 0.000 0.000 0.000
Os 0.000 0.000 7.075
Os 1.875 0.000 2.935
```

Results
Calculated volume ... 83 Å³/cell
Space-group type ... I4/mmm, No. 139
Calculated density ... 19.24 g/cm³

Version b
Computed, not measured: a geometry-optimized Os4Pt structure at the GGA-PBE level of DFT.

Cell and atoms, written as extended XYZ:
```
5
Lattice="-2.861 2.861 2.861 2.861 -2.861 2.861 2.861 2.861 -2.861" Properties=species:S:1:pos:R:3 pbc="T T T"
Os 1.431 1.431 1.431
Os 1.431 -1.431 1.431
Pt 0.000 0.000 0.000
Os 1.431 1.431 -1.431
Os -1.431 1.431 1.431
```

Results
Calculated volume ... 94 Å³/cell
Space-group type ... Im-3m, No. 229
Calculated density ... 16.95 g/cm³

Version c
Computed, not measured: a geometry-optimized Os4Pt structure at the GGA-PBE level of DFT.

Cell and atoms, written as extended XYZ:
```
5
Lattice="-1.543 0.113 4.386 4.190 -1.340 1.509 1.300 4.452 0.342" Properties=species:S:1:pos:R:3 pbc="T T T"
Os 0.000 0.000 0.000
Os 2.745 1.556 0.926
Pt 1.974 1.613 3.118
Os -0.121 2.283 2.364
Os 1.323 -0.613 2.947
```

Results
Calculated volume ... 101 Å³/cell
Space-group type ... Pm-3m, No. 221
Calculated density ... 15.78 g/cm³

The relative energies come out as version a 0.0; version b 126.8; version c 236.3, with values in kJ/mol of atoms.

Version a
Computed, not measured: a geometry-optimized Re2OsPt structure at the GGA-PBE level of DFT.

Cell and atoms, written as extended XYZ:
```
4
Lattice="2.751 0.000 0.000 0.000 2.751 0.000 0.000 0.000 7.918" Properties=species:S:1:pos:R:3 pbc="T T T"
Os 0.000 0.000 3.851
Pt 1.375 1.375 5.966
Re 0.000 0.000 0.013
Re 1.375 1.375 2.047
```

Results
Calculated volume ... 60 Å³/cell
Space-group type ... P4mm, No. 99
Calculated density ... 21.00 g/cm³

Version b
Computed, not measured: a geometry-optimized Re2OsPt structure at the GGA-PBE level of DFT.

Cell and atoms, written as extended XYZ:
```
4
Lattice="4.750 0.005 -0.001 1.505 4.505 0.001 -3.127 -2.255 2.775" Properties=species:S:1:pos:R:3 pbc="T T T"
Pt 2.375 0.002 1.387
Os 3.127 2.255 0.000
Re 6.254 4.510 0.000
Re 0.752 2.252 1.388
```

Results
Calculated volume ... 59 Å³/cell
Space-group type ... I-4m2, No. 119
Calculated density ... 21.20 g/cm³

Version c
Computed, not measured: a geometry-optimized Re2OsPt structure at the GGA-PBE level of DFT.

Cell and atoms, written as extended XYZ:
```
4
Lattice="4.410 0.000 0.000 0.000 2.767 0.000 0.000 0.000 4.847" Properties=species:S:1:pos:R:3 pbc="T T T"
Os 0.000 1.730 2.216
Re 0.000 0.345 4.672
Re 2.205 0.346 1.394
Pt 2.205 1.729 3.835
```

Results
Calculated volume ... 59 Å³/cell
Space-group type ... Pmm2, No. 25
Calculated density ... 21.27 g/cm³

Version d
Computed, not measured: a geometry-optimized Re2OsPt structure at the GGA-PBE level of DFT.

Cell and atoms, written as extended XYZ:
```
4
Lattice="9.202 0.000 0.000 8.789 2.728 0.000 8.789 1.333 2.380" Properties=species:S:1:pos:R:3 pbc="T T T"
Re 26.753 4.056 2.378
Re 6.672 1.012 0.593
Os 13.450 2.039 1.195
Pt 20.077 3.044 1.784
```

Results
Calculated volume ... 60 Å³/cell
Space-group type ... R3m, No. 160
Calculated density ... 21.06 g/cm³

The relative energies come out as version a 12.0; version b 11.3; version c 0.0; version d 13.5, with values in kJ/mol of atoms.

Version a
Computed, not measured: a geometry-optimized Re2OsPt structure at the GGA-PBE level of DFT.

Cell and atoms, written as extended XYZ:
```
4
Lattice="-1.197 -1.692 -4.325 -0.108 -3.796 -2.929 -4.407 -1.639 0.969" Properties=species:S:1:pos:R:3 pbc="T T T"
Re -1.329 -5.471 -7.209
Pt -4.299 -5.346 -4.703
Re -1.464 -1.789 -1.554
Os -2.781 -3.573 -3.215
```

Results
Calculated volume ... 60 Å³/cell
Space-group type ... Cm, No. 8
Calculated density ... 21.07 g/cm³

Version b
Computed, not measured: a geometry-optimized Re2OsPt structure at the GGA-PBE level of DFT.

Cell and atoms, written as extended XYZ:
```
4
Lattice="-1.848 -4.318 0.931 2.095 -1.869 3.879 -2.038 4.256 -0.811" Properties=species:S:1:pos:R:3 pbc="T T T"
Pt -1.881 -1.578 1.262
Os 0.090 -0.353 2.736
Re 0.124 -3.093 2.405
Re 0.000 0.000 0.000
```

Results
Calculated volume ... 59 Å³/cell
Space-group type ... I4/mmm, No. 139
Calculated density ... 21.23 g/cm³

The relative energies come out as version a 0.6; version b 0.0, with values in kJ/mol of atoms.